Record 1
Compound: BaBeSeN2
Source: Alexandria
Functional: GGA-PBE
Structure: relaxed

Structure (extended XYZ):
```
5
Lattice="4.344 0.000 0.000 0.000 4.344 0.000 0.000 0.000 4.619" Properties=species:S:1:pos:R:3 pbc="T T T"
Ba 0.000 0.000 0.000
Be 2.172 2.172 2.309
Se 2.172 2.172 0.000
N 0.000 2.172 2.309
N 2.172 0.000 2.309
```

## Properties
Energy above the lowest structure with this stoichiometry   0 meV/atom


Record 2
Compound: Sr2BiI
Source: Alexandria
Functional: GGA-PBE
Structure: relaxed

Structure (extended XYZ):
```
4
Lattice="0.000 4.179 4.179 4.179 0.000 4.179 4.179 4.179 0.000" Properties=species:S:1:pos:R:3 pbc="T T T"
Sr 2.090 2.090 2.090
Sr 6.269 6.269 6.269
Bi 0.000 0.000 0.000
I 4.179 4.179 4.179
```


Record 3
Compound: InPPb2O
Source: Alexandria
Functional: GGA-PBE
Structure: relaxed

Structure (extended XYZ):
```
5
Lattice="5.819 0.000 0.000 0.000 5.819 0.000 0.000 0.000 4.005" Properties=species:S:1:pos:R:3 pbc="T T T"
In 0.000 0.000 0.000
P 2.909 2.909 2.002
Pb 0.000 2.909 0.000
Pb 2.909 0.000 0.000
O 0.000 0.000 2.002
```


Mass density across the listed records, respectively: 4.83; 5.81; 7.06 g cm⁻³.
Formation energy from raw total energies across the listed records, respectively: 0.58; -1.10; 0.31 eV/atom.